Record 1
Density functional theory data (GGA-PBE) for a geometry-optimized ErHfPaO6 structure.

raw total energy = -9.51 eV per atom
formation energy without anion corrections = -31.8 eV per formula unit

Lattice parameters (Å, degrees): 5.551 5.551 9.483 90.00 90.00 120.00
Atoms (fractional coordinates):
Er 0.333 0.667 0.250
Er 0.667 0.333 0.750
Hf 0.667 0.333 0.250
Hf 0.333 0.667 0.750
Pa 0.000 0.000 0.000
Pa 0.000 0.000 0.500
O 0.680 0.658 0.131
O 0.978 0.320 0.131
O 0.320 0.978 0.631
O 0.022 0.680 0.869
O 0.342 0.320 0.369
O 0.978 0.658 0.369
O 0.658 0.978 0.869
O 0.680 0.022 0.369
O 0.022 0.342 0.631
O 0.342 0.022 0.131
O 0.658 0.680 0.631
O 0.320 0.342 0.869

Record 2
Density functional theory data (GGA-PBE) for a geometry-optimized ErHfPb2O6 structure.

raw total energy = -7.53 eV per atom
formation energy without anion corrections = -23.6 eV per formula unit

Lattice parameters (Å, degrees): 5.829 5.995 8.383 90.00 90.07 90.00
Atoms (fractional coordinates):
Er 0.500 0.000 0.500
Er 0.000 0.500 0.000
Hf 0.500 0.000 0.000
Hf 0.000 0.500 0.500
Pb 0.008 0.965 0.250
Pb 0.508 0.535 0.750
Pb 0.992 0.035 0.750
Pb 0.492 0.465 0.250
O 0.317 0.706 0.052
O 0.817 0.794 0.552
O 0.683 0.294 0.948
O 0.183 0.206 0.448
O 0.295 0.689 0.450
O 0.795 0.811 0.950
O 0.705 0.311 0.550
O 0.205 0.189 0.050
O 0.898 0.532 0.260
O 0.398 0.968 0.760
O 0.102 0.468 0.740
O 0.602 0.032 0.240

Record 3
Density functional theory data (GGA-PBE) for a geometry-optimized ErPuHfO6 structure.

raw total energy = -9.70 eV per atom
formation energy without anion corrections = -28.7 eV per formula unit

Lattice parameters (Å, degrees): 5.568 5.568 9.453 90.00 90.00 120.00
Atoms (fractional coordinates):
Er 0.000 0.000 0.000
Er 0.000 0.000 0.500
Pu 0.667 0.333 0.250
Pu 0.333 0.667 0.750
Hf 0.333 0.667 0.250
Hf 0.667 0.333 0.750
O 0.650 0.657 0.135
O 0.007 0.350 0.135
O 0.350 0.007 0.635
O 0.993 0.650 0.865
O 0.343 0.350 0.365
O 0.007 0.657 0.365
O 0.657 0.007 0.865
O 0.650 0.993 0.365
O 0.993 0.343 0.635
O 0.343 0.993 0.135
O 0.657 0.650 0.635
O 0.350 0.343 0.865

Question: The highest raw total energy belongs to which entry?
Answer: ErHfPb2O6

Question: What is the formula in the first record?
Answer: ErHfPaO6

Question: What is the formation energy without anion corrections in the first record?
Answer: -31.8 eV per formula unit